This record from Alexandria describes an optimized crystal structure of Sc3CdCu8. The functional is GGA-PBE.

Lattice parameters (Å, degrees): 5.0457 5.0457 8.1696 90.00 90.00 120.00
With the nearest neighbours (Å) after each atom.
Fractional positions:
Sc 0.0000 0.0000 0.0000  12 Cu 2.93-2.96, 4 Sc 3.13-3.14
Sc 0.0000 0.0000 0.3837  12 Cu 2.87-3.01, 3 Cd 3.04, 1 Sc 3.14
Sc 0.3333 0.6667 0.8608  12 Cu 2.89-2.99, 1 Cd 3.02, 3 Sc 3.13
Cd 0.3333 0.6667 0.4907  12 Cu 2.90-2.99, 4 Sc 3.02-3.04
Cu 0.0049 0.5025 0.1821  6 Cu 2.48-2.56
Cu 0.3305 0.1652 0.6878  6 Cu 2.50-2.54
Cu 0.4975 0.5025 0.1821  6 Cu 2.48-2.56
Cu 0.4975 0.9951 0.1821  6 Cu 2.48-2.56
Cu 0.6667 0.3333 0.4354  6 Cu 2.53-2.54
Cu 0.6667 0.3333 0.9381  6 Cu 2.48-2.52
Cu 0.8348 0.1652 0.6878  6 Cu 2.50-2.54
Cu 0.8348 0.6695 0.6878  6 Cu 2.50-2.54

Computed properties:
The space-group type is P3m1. The calculation puts the formation energy at -2.7 eV/f.u. For the total energy, the calculation gives -4.615 eV per atom.



This record from Alexandria describes an optimized crystal structure of Sc2PIr2. The functional is GGA-PBE.

Lattice parameters (Å, degrees): 6.2698 6.2698 4.3662 90.00 90.00 90.00
With the nearest neighbours (Å) after each atom.
Fractional positions:
Sc 0.1687 0.3313 0.0000  6 Ir 2.71-2.96, 1 Sc 2.99
Sc 0.3313 0.8313 0.0000  6 Ir 2.71-2.96, 1 Sc 2.99
Sc 0.6687 0.1687 0.0000  6 Ir 2.71-2.96, 1 Sc 2.99
Sc 0.8313 0.6687 0.0000  6 Ir 2.71-2.96, 1 Sc 2.99
P 0.0000 0.0000 0.5000  4 Ir 2.38
P 0.5000 0.5000 0.5000  4 Ir 2.38
Ir 0.1508 0.6508 0.5000  2 P 2.38
Ir 0.3492 0.1508 0.5000  2 P 2.38
Ir 0.6508 0.8492 0.5000  2 P 2.38
Ir 0.8492 0.3492 0.5000  2 P 2.38

Computed properties:
The space-group type is P4/mbm. The calculation puts the formation energy at -3.4 eV/f.u. For the total energy, the calculation gives -7.842 eV per atom.



This record from Alexandria describes an optimized crystal structure of CeMg2Ge2. The functional is GGA-PBE.

Lattice parameters (Å, degrees): 6.0229 6.0229 6.6895 90.00 116.48 90.00
With the nearest neighbours (Å) after each atom.
Fractional positions:
Ce 0.0000 0.0000 0.0000  8 Ge 3.25-3.28
Ce 0.5000 0.5000 0.0000  8 Ge 3.25-3.28
Mg 0.0000 0.2500 0.5000  4 Ge 2.74, 4 Mg 3.01
Mg 0.0000 0.7500 0.5000  4 Ge 2.74, 4 Mg 3.01
Mg 0.5000 0.2500 0.5000  4 Ge 2.74, 4 Mg 3.01
Mg 0.5000 0.7500 0.5000  4 Ge 2.74, 4 Mg 3.01
Ge 0.1075 0.5000 0.2118  1 Ge 2.54, 4 Mg 2.74
Ge 0.3925 0.0000 0.7882  1 Ge 2.54, 4 Mg 2.74
Ge 0.6075 0.0000 0.2118  1 Ge 2.54, 4 Mg 2.74
Ge 0.8925 0.5000 0.7882  1 Ge 2.54, 4 Mg 2.74

Computed properties:
The space-group type is C2/m. The calculation puts the formation energy at -2.4 eV/f.u. For the total energy, the calculation gives -4.146 eV per atom.